No. 1
# AlIn PBE relaxed
data_AlIn
_cell_length_a 5.710
_cell_length_b 5.710
_cell_length_c 5.852
_cell_angle_alpha 90.00
_cell_angle_beta 90.00
_cell_angle_gamma 90.00
_space_group_name_H-M_alt 'P 42/m n m'
_space_group_IT_number 136
_space_group_name_Hall '-P 4n 2n'
loop_
_atom_site_label
_atom_site_type_symbol
_atom_site_fract_x
_atom_site_fract_y
_atom_site_fract_z
Al1 Al 0.187 0.187 0.000
In1 In 0.195 0.195 0.500
# - formation energy from the elements (eV/atom) = 0.269

=====

No. 2
# Pm2PrNd5Th PBE relaxed
data_Pm2PrNd5Th
_cell_length_a 5.793
_cell_length_b 20.645
_cell_length_c 10.657
_cell_angle_alpha 90.00
_cell_angle_beta 90.00
_cell_angle_gamma 90.00
_space_group_name_H-M_alt 'C m c 21'
_space_group_IT_number 36
_space_group_name_Hall 'C 2c -2'
loop_
_atom_site_label
_atom_site_type_symbol
_atom_site_fract_x
_atom_site_fract_y
_atom_site_fract_z
Pm1 Pm 0.000 0.116 0.000
Pm2 Pm 0.000 0.116 0.411
Pr1 Pr 0.000 0.410 0.130
Nd1 Nd 0.000 0.016 0.703
Nd2 Nd 0.000 0.276 0.996
Nd3 Nd 0.000 0.294 0.385
Nd4 Nd 0.000 0.388 0.706
Nd5 Nd 0.000 0.479 0.421
Th1 Th 0.000 0.199 0.693
# - formation energy from the elements (eV/atom) = 0.153

=====

No. 3
# La4SiTcCl2 PBE relaxed
data_La4SiTcCl2
_cell_length_a 7.462
_cell_length_b 4.234
_cell_length_c 7.831
_cell_angle_alpha 90.00
_cell_angle_beta 108.03
_cell_angle_gamma 90.00
_space_group_name_H-M_alt 'P 1 2/m 1'
_space_group_IT_number 10
_space_group_name_Hall '-P 2y'
loop_
_atom_site_label
_atom_site_type_symbol
_atom_site_fract_x
_atom_site_fract_y
_atom_site_fract_z
La1 La 0.232 0.000 0.214
La2 La 0.238 0.500 0.794
Si1 Si 0.500 0.000 0.000
Tc1 Tc 0.000 0.500 0.000
Cl1 Cl 0.000 0.000 0.500
Cl2 Cl 0.500 0.500 0.500
# - uncorrected formation energy (eV per atom) = -1.00

=====

No. 4
# AgPb3Au PBE relaxed
data_AgPb3Au
_cell_length_a 5.558
_cell_length_b 5.558
_cell_length_c 5.558
_cell_angle_alpha 90.00
_cell_angle_beta 90.00
_cell_angle_gamma 90.00
_space_group_name_H-M_alt 'P m -3 m'
_space_group_IT_number 221
_space_group_name_Hall '-P 4 2 3'
loop_
_atom_site_label
_atom_site_type_symbol
_atom_site_fract_x
_atom_site_fract_y
_atom_site_fract_z
Ag1 Ag 0.000 0.000 0.000
Pb1 Pb 0.000 0.500 0.500
Au1 Au 0.500 0.500 0.500
# - formation energy from the elements (eV/atom) = 0.443

=====

No. 5
# AlTlAg PBE relaxed
data_AlTlAg
_cell_length_a 6.551
_cell_length_b 6.551
_cell_length_c 6.551
_cell_angle_alpha 90.00
_cell_angle_beta 90.00
_cell_angle_gamma 90.00
_space_group_name_H-M_alt 'F -4 3 m'
_space_group_IT_number 216
_space_group_name_Hall 'F -4 2 3'
loop_
_atom_site_label
_atom_site_type_symbol
_atom_site_fract_x
_atom_site_fract_y
_atom_site_fract_z
Al1 Al 0.000 0.000 0.000
Tl1 Tl 0.250 0.250 0.250
Ag1 Ag 0.250 0.250 0.750
# - formation energy from the elements (eV/atom) = 0.213

=====

No. 6
# AcPuTe2Cl PBE relaxed
data_AcPuTe2Cl
_cell_length_a 4.586
_cell_length_b 4.586
_cell_length_c 16.508
_cell_angle_alpha 90.00
_cell_angle_beta 90.00
_cell_angle_gamma 90.00
_space_group_name_H-M_alt 'P 4/n m m'
_space_group_IT_number 129
loop_
_space_group_symop_operation_xyz
'x,y,z'
'-x,-y,-z'
'-y+1/2,x,z'
'y+1/2,-x,-z'
'-x+1/2,-y+1/2,z'
'x+1/2,y+1/2,-z'
'y,-x+1/2,z'
'-y,x+1/2,-z'
'x+1/2,-y,-z'
'-x+1/2,y,z'
'-y,-x,-z'
'y,x,z'
'-x,y+1/2,-z'
'x,-y+1/2,z'
'y+1/2,x+1/2,-z'
'-y+1/2,-x+1/2,z'
loop_
_atom_site_label
_atom_site_type_symbol
_atom_site_fract_x
_atom_site_fract_y
_atom_site_fract_z
Ac1 Ac 0.250 0.250 0.122
Pu1 Pu 0.250 0.250 0.613
Te1 Te 0.250 0.250 0.316
Te2 Te 0.250 0.250 0.909
Cl1 Cl 0.250 0.750 0.500
# - uncorrected formation energy (eV per atom) = -1.44

=====

What is the formula in the sixth record? AcPuTe2Cl

=====

Repeat the first record exactly.
# AlIn PBE relaxed
data_AlIn
_cell_length_a 5.710
_cell_length_b 5.710
_cell_length_c 5.852
_cell_angle_alpha 90.00
_cell_angle_beta 90.00
_cell_angle_gamma 90.00
_space_group_name_H-M_alt 'P 42/m n m'
_space_group_IT_number 136
_space_group_name_Hall '-P 4n 2n'
loop_
_atom_site_label
_atom_site_type_symbol
_atom_site_fract_x
_atom_site_fract_y
_atom_site_fract_z
Al1 Al 0.187 0.187 0.000
In1 In 0.195 0.195 0.500
# - formation energy from the elements (eV/atom) = 0.269

=====

What is the formula in the sixth record? AcPuTe2Cl